(1)
## Rb3IrS (PBE-GGA)

Data for a relaxed structure of Rb3IrS.

Computed properties:
Formation energy from raw total energies, eV/f.u.: 1.62
Space-group type: No. 221
V, A^3/atom: 50.95
Spin magnetization, μB/f.u.: 2.0

The structure in POSCAR format:
```
Rb3IrS
1.0
6.339 0.000 0.000
0.000 6.339 0.000
0.000 0.000 6.339
Rb Ir S
3 1 1
Direct
0.000 0.000 0.500
0.000 0.500 0.000
0.500 0.000 0.000
0.500 0.500 0.500
0.000 0.000 0.000
```



(2)
## LiNdGe2Au4 (PBE-GGA)

Data for a relaxed structure of LiNdGe2Au4.

Computed properties:
Space-group type: No. 166
V, A^3/atom: 19.54
Spin magnetization, μB/f.u.: 0.0
Calculated total energy, eV per atom: -4.076

The structure in POSCAR format:
```
LiNdGe2Au4
1.0
2.289 1.322 8.611
-2.289 1.322 8.611
0.000 -2.643 8.611
Li Nd Ge Au
1 1 2 4
Direct
0.000 0.000 0.000
0.500 0.500 0.500
0.257 0.257 0.257
0.743 0.743 0.743
0.103 0.103 0.103
0.363 0.363 0.363
0.637 0.637 0.637
0.897 0.897 0.897
```



(3)
## La3Ag9Hg2 (PBE-GGA)

Data for a relaxed structure of La3Ag9Hg2.

Computed properties:
Space-group type: No. 71
V, A^3/atom: 23.29
Spin magnetization, μB/f.u.: 0.0
Calculated total energy, eV per atom: -3.152

The structure in POSCAR format:
```
La3Ag9Hg2
1.0
-2.381 4.862 7.039
2.381 -4.862 7.039
2.381 4.862 -7.039
La Ag Hg
3 9 2
Direct
0.000 0.000 0.000
0.302 0.302 0.000
0.698 0.698 0.000
0.032 0.672 0.360
0.149 0.868 0.281
0.313 0.672 0.640
0.413 0.132 0.281
0.500 0.000 0.500
0.587 0.868 0.719
0.687 0.328 0.360
0.851 0.132 0.719
0.968 0.328 0.640
0.300 0.500 0.800
0.700 0.500 0.200
```



(4)
## KGaI2F (PBE-GGA)

Data for a relaxed structure of KGaI2F.

Computed properties:
Formation energy from raw total energies, eV/f.u.: -6.41
Space-group type: No. 123
V, A^3/atom: 30.35
Spin magnetization, μB/f.u.: 0.0

The structure in POSCAR format:
```
KGaI2F
1.0
5.958 0.000 0.000
0.000 5.958 0.000
0.000 0.000 4.275
K Ga I F
1 1 2 1
Direct
0.000 0.000 0.000
0.500 0.500 0.500
0.000 0.500 0.500
0.500 0.000 0.500
0.500 0.500 0.000
```